Density functional theory data (PBE-GGA) for a relaxed structure of CeMgAlSn.

Cell and atoms, written as POSCAR:
```
CeMgAlSn
1.0
7.260 0.000 0.000
0.000 7.260 0.000
0.000 0.000 7.260
Ce Mg Al Sn
4 4 4 4
Direct
0.000 0.000 0.000
0.000 0.500 0.500
0.500 0.000 0.500
0.500 0.500 0.000
0.000 0.000 0.500
0.000 0.500 0.000
0.500 0.000 0.000
0.500 0.500 0.500
0.250 0.250 0.750
0.250 0.750 0.250
0.750 0.250 0.250
0.750 0.750 0.750
0.250 0.250 0.250
0.250 0.750 0.750
0.750 0.250 0.750
0.750 0.750 0.250
```

energy above the most stable polymorph in this dataset	128.3	meV per atom
total moment	0.10	μB per atom
total DFT energy (no corrections)	-65.24	eV per cell
calculated formation energy	-25	kJ/mol of atoms